# Ag2RuPt

A relaxed Ag2RuPt crystal (PBE, Alexandria). Values from VASP.

The structure in Quantum ESPRESSO input format:
```
&SYSTEM
  ibrav = 0, nat = 4, ntyp = 3
/
ATOMIC_SPECIES
Ag 107.87 Ag.upf
Pt 195.08 Pt.upf
Ru 101.07 Ru.upf
CELL_PARAMETERS angstrom
2.7573 0.0000 0.0000
0.0000 2.7573 0.0000
0.0000 0.0000 8.6144
ATOMIC_POSITIONS angstrom
Ag 0.0000 0.0000 0.0020
Ag 0.0000 0.0000 4.3052
Pt 1.3786 1.3786 2.1536
Ru 1.3786 1.3786 6.4608
```

Calculated values
* energy relative to the lowest polymorph listed for this composition: 18.7 kJ/mol of atoms
* final energy: -4.885 eV per atom
* total moment: 1.9 μB/cell